Arrangement A

An optimized crystal structure of CuSiTcNi, computed with GGA-PBE.

POSCAR file:
```
CuSiTcNi
1.0
0.000 2.912 2.912
2.912 0.000 2.912
2.912 2.912 0.000
Cu Si Tc Ni
1 1 1 1
Direct
0.000 0.000 0.000
0.750 0.750 0.750
0.250 0.250 0.250
0.500 0.500 0.500
```

Summary:
The space group is F-43m.


Arrangement B

An optimized crystal structure of CuSiTcNi, computed with GGA-PBE.

POSCAR file:
```
CuSiTcNi
1.0
0.000 2.911 2.911
2.911 0.000 2.911
2.911 2.911 0.000
Cu Si Tc Ni
1 1 1 1
Direct
0.000 0.000 0.000
0.750 0.750 0.750
0.500 0.500 0.500
0.250 0.250 0.250
```

Summary:
The space group is F-43m.


Which one is most stable, and which one is least stable? arrangement B is the most stable of them, while arrangement A is the least stable.


Arrangement A

An optimized crystal structure of ZrCuSiNi, computed with GGA-PBE.

POSCAR file:
```
ZrCuSiNi
1.0
0.000 3.055 3.055
3.055 0.000 3.055
3.055 3.055 0.000
Zr Cu Si Ni
1 1 1 1
Direct
0.000 0.000 0.000
0.500 0.500 0.500
0.250 0.250 0.250
0.750 0.750 0.750
```

Summary:
The space group is F-43m.


Arrangement B

An optimized crystal structure of ZrCuSiNi, computed with GGA-PBE.

POSCAR file:
```
ZrCuSiNi
1.0
0.000 3.042 3.042
3.042 0.000 3.042
3.042 3.042 0.000
Zr Cu Si Ni
1 1 1 1
Direct
0.000 0.000 0.000
0.750 0.750 0.750
0.500 0.500 0.500
0.250 0.250 0.250
```

Summary:
The space group is F-43m.


Which one is most stable, and which one is least stable? arrangement B is the most stable of them, while arrangement A is the least stable.


Arrangement A

An optimized crystal structure of SrTaCuNi, computed with GGA-PBE.

POSCAR file:
```
SrTaCuNi
1.0
0.000 3.268 3.268
3.268 0.000 3.268
3.268 3.268 0.000
Sr Ta Cu Ni
1 1 1 1
Direct
0.000 0.000 0.000
0.750 0.750 0.750
0.500 0.500 0.500
0.250 0.250 0.250
```

Summary:
The space group is F-43m.


Arrangement B

An optimized crystal structure of SrTaCuNi, computed with GGA-PBE.

POSCAR file:
```
SrTaCuNi
1.0
0.000 3.267 3.267
3.267 0.000 3.267
3.267 3.267 0.000
Sr Ta Cu Ni
1 1 1 1
Direct
0.000 0.000 0.000
0.750 0.750 0.750
0.250 0.250 0.250
0.500 0.500 0.500
```

Summary:
The space group is F-43m.


Arrangement C

An optimized crystal structure of SrTaCuNi, computed with GGA-PBE.

POSCAR file:
```
SrTaCuNi
1.0
0.000 3.329 3.329
3.329 0.000 3.329
3.329 3.329 0.000
Sr Ta Cu Ni
1 1 1 1
Direct
0.000 0.000 0.000
0.500 0.500 0.500
0.250 0.250 0.250
0.750 0.750 0.750
```

Summary:
The space group is F-43m.


Which one is most stable, and which one is least stable? arrangement C is the most stable of them, while arrangement A is the least stable.


Arrangement A

An optimized crystal structure of SrCuNiTe3, computed with GGA-PBE.

POSCAR file:
```
SrCuNiTe3
1.0
8.175 0.000 0.000
0.000 4.143 0.000
-2.317 0.000 9.003
Sr Cu Ni Te
2 2 2 6
Direct
0.190 0.250 0.265
0.810 0.750 0.735
0.065 0.250 0.580
0.935 0.750 0.420
0.333 0.750 0.849
0.667 0.250 0.151
0.128 0.250 0.884
0.264 0.750 0.556
0.453 0.750 0.134
0.547 0.250 0.866
0.736 0.250 0.444
0.872 0.750 0.116
```

Summary:
The space group is P2_1/m.


Arrangement B

An optimized crystal structure of SrCuNiTe3, computed with GGA-PBE.

POSCAR file:
```
SrCuNiTe3
1.0
2.104 -6.515 0.000
2.104 6.515 0.000
0.000 0.000 10.710
Sr Cu Ni Te
2 2 2 6
Direct
0.230 0.770 0.750
0.770 0.230 0.250
0.454 0.546 0.250
0.546 0.454 0.750
0.000 0.000 0.000
0.000 0.000 0.500
0.065 0.935 0.250
0.370 0.630 0.027
0.370 0.630 0.473
0.630 0.370 0.527
0.630 0.370 0.973
0.935 0.065 0.750
```

Summary:
The space group is Cmcm.


Which one is most stable, and which one is least stable? arrangement A is the most stable of them, while arrangement B is the least stable.


Arrangement A

An optimized crystal structure of TaTlCuNi, computed with GGA-PBE.

POSCAR file:
```
TaTlCuNi
1.0
0.000 3.141 3.141
3.141 0.000 3.141
3.141 3.141 0.000
Ta Tl Cu Ni
1 1 1 1
Direct
0.000 0.000 0.000
0.500 0.500 0.500
0.750 0.750 0.750
0.250 0.250 0.250
```

Summary:
The space group is F-43m.


Arrangement B

An optimized crystal structure of TaTlCuNi, computed with GGA-PBE.

POSCAR file:
```
TaTlCuNi
1.0
0.000 3.176 3.176
3.176 0.000 3.176
3.176 3.176 0.000
Ta Tl Cu Ni
1 1 1 1
Direct
0.000 0.000 0.000
0.250 0.250 0.250
0.500 0.500 0.500
0.750 0.750 0.750
```

Summary:
The space group is F-43m.


Which one is most stable, and which one is least stable? arrangement A is the most stable of them, while arrangement B is the least stable.


Arrangement A

An optimized crystal structure of TaZnCuNi, computed with GGA-PBE.

POSCAR file:
```
TaZnCuNi
1.0
0.000 2.997 2.997
2.997 0.000 2.997
2.997 2.997 0.000
Ta Zn Cu Ni
1 1 1 1
Direct
0.000 0.000 0.000
0.500 0.500 0.500
0.750 0.750 0.750
0.250 0.250 0.250
```

Summary:
The space group is F-43m.


Arrangement B

An optimized crystal structure of TaZnCuNi, computed with GGA-PBE.

POSCAR file:
```
TaZnCuNi
1.0
0.000 2.996 2.996
2.996 0.000 2.996
2.996 2.996 0.000
Ta Zn Cu Ni
1 1 1 1
Direct
0.000 0.000 0.000
0.250 0.250 0.250
0.750 0.750 0.750
0.500 0.500 0.500
```

Summary:
The space group is F-43m.


Arrangement C

An optimized crystal structure of TaZnCuNi, computed with GGA-PBE.

POSCAR file:
```
TaZnCuNi
1.0
0.000 2.998 2.998
2.998 0.000 2.998
2.998 2.998 0.000
Ta Zn Cu Ni
1 1 1 1
Direct
0.000 0.000 0.000
0.250 0.250 0.250
0.500 0.500 0.500
0.750 0.750 0.750
```

Summary:
The space group is F-43m.


Which one is most stable, and which one is least stable? arrangement A is the most stable of them, while arrangement B is the least stable.


Arrangement A

An optimized crystal structure of NpTaCu, computed with GGA-PBE.

POSCAR file:
```
NpTaCu
1.0
0.000 3.084 3.084
3.084 0.000 3.084
3.084 3.084 0.000
Np Ta Cu
1 1 1
Direct
0.000 0.000 0.000
0.500 0.500 0.500
0.250 0.250 0.250
```

Summary:
The space group is F-43m.


Arrangement B

An optimized crystal structure of NpTaCu, computed with GGA-PBE.

POSCAR file:
```
NpTaCu
1.0
0.000 3.117 3.117
3.117 0.000 3.117
3.117 3.117 0.000
Np Ta Cu
1 1 1
Direct
0.000 0.000 0.000
0.250 0.250 0.250
0.750 0.750 0.750
```

Summary:
The space group is F-43m.


Which one is most stable, and which one is least stable? arrangement A is the most stable of them, while arrangement B is the least stable.


Arrangement A

An optimized crystal structure of YCuOsPb, computed with GGA-PBE.

POSCAR file:
```
YCuOsPb
1.0
0.000 3.390 3.390
3.390 0.000 3.390
3.390 3.390 0.000
Y Cu Os Pb
1 1 1 1
Direct
0.000 0.000 0.000
0.750 0.750 0.750
0.250 0.250 0.250
0.500 0.500 0.500
```

Summary:
The space group is F-43m.


Arrangement B

An optimized crystal structure of YCuOsPb, computed with GGA-PBE.

POSCAR file:
```
YCuOsPb
1.0
0.000 3.404 3.404
3.404 0.000 3.404
3.404 3.404 0.000
Y Cu Os Pb
1 1 1 1
Direct
0.000 0.000 0.000
0.500 0.500 0.500
0.750 0.750 0.750
0.250 0.250 0.250
```

Summary:
The space group is F-43m.


Which one is most stable, and which one is least stable? arrangement A is the most stable of them, while arrangement B is the least stable.


Arrangement A

An optimized crystal structure of ZnCuOsPb, computed with GGA-PBE.

POSCAR file:
```
ZnCuOsPb
1.0
0.000 3.209 3.209
3.209 0.000 3.209
3.209 3.209 0.000
Zn Cu Os Pb
1 1 1 1
Direct
0.000 0.000 0.000
0.500 0.500 0.500
0.750 0.750 0.750
0.250 0.250 0.250
```

Summary:
The space group is F-43m.


Arrangement B

An optimized crystal structure of ZnCuOsPb, computed with GGA-PBE.

POSCAR file:
```
ZnCuOsPb
1.0
0.000 3.207 3.207
3.207 0.000 3.207
3.207 3.207 0.000
Zn Cu Os Pb
1 1 1 1
Direct
0.000 0.000 0.000
0.750 0.750 0.750
0.250 0.250 0.250
0.500 0.500 0.500
```

Summary:
The space group is F-43m.


Which one is most stable, and which one is least stable? arrangement B is the most stable of them, while arrangement A is the least stable.


Arrangement A

An optimized crystal structure of ZrCuOsPb, computed with GGA-PBE.

POSCAR file:
```
ZrCuOsPb
1.0
0.000 3.299 3.299
3.299 0.000 3.299
3.299 3.299 0.000
Zr Cu Os Pb
1 1 1 1
Direct
0.000 0.000 0.000
0.750 0.750 0.750
0.250 0.250 0.250
0.500 0.500 0.500
```

Summary:
The space group is F-43m.


Arrangement B

An optimized crystal structure of ZrCuOsPb, computed with GGA-PBE.

POSCAR file:
```
ZrCuOsPb
1.0
0.000 3.322 3.322
3.322 0.000 3.322
3.322 3.322 0.000
Zr Cu Os Pb
1 1 1 1
Direct
0.000 0.000 0.000
0.500 0.500 0.500
0.750 0.750 0.750
0.250 0.250 0.250
```

Summary:
The space group is F-43m.


Which one is most stable, and which one is least stable? arrangement A is the most stable of them, while arrangement B is the least stable.


Arrangement A

An optimized crystal structure of PmCuOs, computed with GGA-PBE.

POSCAR file:
```
PmCuOs
1.0
0.000 3.218 3.218
3.218 0.000 3.218
3.218 3.218 0.000
Pm Cu Os
1 1 1
Direct
0.000 0.000 0.000
0.750 0.750 0.750
0.250 0.250 0.250
```

Summary:
The space group is F-43m.


Arrangement B

An optimized crystal structure of PmCuOs, computed with GGA-PBE.

POSCAR file:
```
PmCuOs
1.0
0.000 3.183 3.183
3.183 0.000 3.183
3.183 3.183 0.000
Pm Cu Os
1 1 1
Direct
0.000 0.000 0.000
0.500 0.500 0.500
0.750 0.750 0.750
```

Summary:
The space group is F-43m.


Which one is most stable, and which one is least stable? arrangement B is the most stable of them, while arrangement A is the least stable.


Arrangement A

An optimized crystal structure of RbCuOs, computed with GGA-PBE.

POSCAR file:
```
RbCuOs
1.0
0.000 3.346 3.346
3.346 0.000 3.346
3.346 3.346 0.000
Rb Cu Os
1 1 1
Direct
0.000 0.000 0.000
0.750 0.750 0.750
0.500 0.500 0.500
```

Summary:
The space group is F-43m.


Arrangement B

An optimized crystal structure of RbCuOs, computed with GGA-PBE.

POSCAR file:
```
RbCuOs
1.0
0.000 3.541 3.541
3.541 0.000 3.541
3.541 3.541 0.000
Rb Cu Os
1 1 1
Direct
0.000 0.000 0.000
0.750 0.750 0.750
0.250 0.250 0.250
```

Summary:
The space group is F-43m.


Which one is most stable, and which one is least stable? arrangement A is the most stable of them, while arrangement B is the least stable.